Entry 1:
Compound: K2YAu
Source: Alexandria via LeMat-Bulk
Functional: PBE
Structure: optimized geometry

Total magnetic moment: 0.000 μB/atom
Polymorph energy (0 for the lowest one): 239.1 meV per atom
Theoretical density: 3.64 Mg/m³
DOS at the Fermi energy: 7.88 states/eV per cell
Total DFT energy (no corrections): -2.94 eV/atom
E_form: 0.04 eV per atom

```
data_K2YAu
_chemical_formula_sum 'K4 Y2 Au2'
_space_group_name_H-M_alt 'I m m 2'
_space_group_IT_number 44
_space_group_name_Hall 'I 2 -2'
_cell_length_a 3.800
_cell_length_b 6.472
_cell_length_c 13.517
_cell_angle_alpha 90.00
_cell_angle_beta 90.00
_cell_angle_gamma 90.00
loop_
_atom_site_label
_atom_site_type_symbol
_atom_site_fract_x
_atom_site_fract_y
_atom_site_fract_z
K1 K 0.000 0.000 0.000
K2 K 0.000 0.500 0.184
Y1 Y 0.000 0.500 0.819
Au1 Au 0.000 0.000 0.472
```

Entry 2:
Compound: K2YAu
Source: Alexandria via LeMat-Bulk
Functional: PBE
Structure: optimized geometry

Total magnetic moment: 0.209 μB/atom
Polymorph energy (0 for the lowest one): 405.4 meV per atom
Theoretical density: 3.90 Mg/m³
DOS at the Fermi energy: 12.22 states/eV per cell
Total DFT energy (no corrections): -2.78 eV/atom
E_form: 0.21 eV per atom

```
data_K2YAu
_chemical_formula_sum 'K6 Y3 Au3'
_space_group_name_H-M_alt 'R -3 m'
_space_group_IT_number 166
_space_group_name_Hall '-R 3 2"'
_cell_length_a 3.8570
_cell_length_b 3.8570
_cell_length_c 36.1362
_cell_angle_alpha 90.00
_cell_angle_beta 90.00
_cell_angle_gamma 120.00
loop_
_atom_site_label
_atom_site_type_symbol
_atom_site_fract_x
_atom_site_fract_y
_atom_site_fract_z
K1 K 0.0000 0.0000 0.2316
Y1 Y 0.0000 0.0000 0.0000
Au1 Au 0.0000 0.0000 0.5000
```

Entry 3:
Compound: KY4Au
Source: Alexandria via LeMat-Bulk
Functional: PBE
Structure: optimized geometry

Total magnetic moment: 0.000 μB/atom
Theoretical density: 4.89 Mg/m³
DOS at the Fermi energy: 29.07 states/eV per cell
Total DFT energy (no corrections): -4.52 eV/atom
E_form: 0.52 eV per atom

```
data_KY4Au
_chemical_formula_sum 'K4 Y16 Au4'
_space_group_name_H-M_alt 'F -4 3 m'
_space_group_IT_number 216
_space_group_name_Hall 'F -4 2 3'
_cell_length_a 9.296
_cell_length_b 9.296
_cell_length_c 9.296
_cell_angle_alpha 90.00
_cell_angle_beta 90.00
_cell_angle_gamma 90.00
loop_
_atom_site_label
_atom_site_type_symbol
_atom_site_fract_x
_atom_site_fract_y
_atom_site_fract_z
K1 K 0.000 0.000 0.000
Y1 Y 0.123 0.123 0.623
Au1 Au 0.250 0.250 0.250
```

Entry 4:
Compound: K2YAu
Source: Alexandria via LeMat-Bulk
Functional: PBE
Structure: optimized geometry

Total magnetic moment: 0.000 μB/atom
Polymorph energy (0 for the lowest one): 0.0 meV per atom
Theoretical density: 3.74 Mg/m³
DOS at the Fermi energy: 3.06 states/eV per cell
Total DFT energy (no corrections): -3.18 eV/atom
E_form: -0.20 eV per atom

```
data_K2YAu
_chemical_formula_sum 'K2 Y1 Au1'
_space_group_name_H-M_alt 'P 4 m m'
_space_group_IT_number 99
_space_group_name_Hall 'P 4 -2'
_cell_length_a 3.868
_cell_length_b 3.868
_cell_length_c 10.812
_cell_angle_alpha 90.00
_cell_angle_beta 90.00
_cell_angle_gamma 90.00
loop_
_atom_site_label
_atom_site_type_symbol
_atom_site_fract_x
_atom_site_fract_y
_atom_site_fract_z
K1 K 0.000 0.000 0.000
K2 K 0.500 0.500 0.370
Y1 Y 0.000 0.000 0.667
Au1 Au 0.500 0.500 0.773
```

Entry 5:
Compound: KYAu
Source: Alexandria via LeMat-Bulk
Functional: PBE
Structure: optimized geometry

Total magnetic moment: 0.000 μB/atom
Polymorph energy (0 for the lowest one): 0.0 meV per atom
Theoretical density: 5.28 Mg/m³
DOS at the Fermi energy: 6.08 states/eV per cell
Total DFT energy (no corrections): -3.89 eV/atom
E_form: -0.28 eV per atom

```
data_KYAu
_chemical_formula_sum 'K2 Y2 Au2'
_space_group_name_H-M_alt 'I 4 m m'
_space_group_IT_number 107
_space_group_name_Hall 'I 4 -2'
_cell_length_a 3.750
_cell_length_b 3.750
_cell_length_c 14.542
_cell_angle_alpha 90.00
_cell_angle_beta 90.00
_cell_angle_gamma 90.00
loop_
_atom_site_label
_atom_site_type_symbol
_atom_site_fract_x
_atom_site_fract_y
_atom_site_fract_z
K1 K 0.000 0.000 0.000
Y1 Y 0.000 0.000 0.742
Au1 Au 0.000 0.000 0.329
```

Entry 6:
Compound: K2YAu
Source: Alexandria via LeMat-Bulk
Functional: PBE
Structure: optimized geometry

Total magnetic moment: 0.344 μB/atom
Polymorph energy (0 for the lowest one): 746.8 meV per atom
Theoretical density: 4.24 Mg/m³
DOS at the Fermi energy: 13.40 states/eV per cell
Total DFT energy (no corrections): -2.44 eV/atom
E_form: 0.55 eV per atom

```
data_K2YAu
_chemical_formula_sum 'K8 Y4 Au4'
_space_group_name_H-M_alt 'F m -3 m'
_space_group_IT_number 225
_space_group_name_Hall '-F 4 2 3'
_cell_length_a 8.290
_cell_length_b 8.290
_cell_length_c 8.290
_cell_angle_alpha 90.00
_cell_angle_beta 90.00
_cell_angle_gamma 90.00
loop_
_atom_site_label
_atom_site_type_symbol
_atom_site_fract_x
_atom_site_fract_y
_atom_site_fract_z
K1 K 0.250 0.250 0.250
Y1 Y 0.000 0.000 0.000
Au1 Au 0.000 0.000 0.500
```